A plane-wave DFT calculation with GGA+U was carried out for a relaxed VS6F2 crystal.

a = 3.5889 Å, b = 7.2503 Å, c = 7.2531 Å
α = 105.70°, β = 90.23°, γ = 90.58°
Atoms (fractional coordinates):
V 0.0000 0.0000 0.0000
S 0.1157 0.4645 0.7507
S 0.1191 0.7507 0.4636
S 0.1369 0.2902 0.2909
S 0.8631 0.7098 0.7091
S 0.8809 0.2493 0.5364
S 0.8843 0.5355 0.2493
F 0.4987 0.8923 0.1068
F 0.5013 0.1077 0.8932

Calculated values
**Symmetry**: No. 2
**Total DFT energy (no corrections)**: -4.66 eV/atom